Entry 1:
Computed, not measured: a relaxed Ag2IrBr crystal at the GGA-PBE level of DFT.

The space group is I4/mmm (No. 139) and the conventional cell measures 4.003, 4.003 and 9.141 Å, with angles of 90.00, 90.00 and 90.00 degrees. Symmetry generates all atoms from Ag at (0.000, 0.500, 0.250), Ir at (0.000, 0.000, 0.000) and Br at (0.000, 0.000, 0.500).

As for the energy above the most stable polymorph in this dataset: 0.3297 eV/atom. The uncorrected formation energy is 0.775 eV/atom. The calculation puts the theoretical density at 11.06 g cm⁻³.

Entry 2:
Computed, not measured: a relaxed Mg2CdGe crystal at the GGA-PBE level of DFT.

The space group is R3m (No. 160, hexagonal axes) and the conventional cell measures 4.4834, 4.4834 and 15.9298 Å, with angles of 90.00, 90.00 and 120.00 degrees. Symmetry generates all atoms from Mg at (0.0000, 0.0000, 0.0000), Mg at (0.0000, 0.0000, 0.2084), Cd at (0.0000, 0.0000, 0.7770) and Ge at (0.0000, 0.0000, 0.5995).

The value obtained for the energy of formation from the pure elements is -0.20 eV/f.u. The calculation puts the theoretical density at 4.20 g cm⁻³.

Entry 3:
Computed, not measured: a relaxed CdIn2HgPb2 crystal at the GGA-PBE level of DFT.

The space group is Pmc2_1 (No. 26) and the conventional cell measures 4.719, 10.045 and 7.023 Å, with angles of 90.00, 90.00 and 90.00 degrees. Symmetry generates all atoms from Cd at (0.000, 0.163, 0.000), In at (0.000, 0.146, 0.488), In at (0.500, 0.322, 0.242), Hg at (0.500, 0.007, 0.234), Pb at (0.000, 0.496, 0.493) and Pb at (0.500, 0.316, 0.746).

The value obtained for the energy of formation from the pure elements is 0.13 eV/f.u. The calculation puts the theoretical density at 9.55 g cm⁻³.

Entry 4:
Computed, not measured: a relaxed ScPaSn2 crystal at the GGA-PBE level of DFT.

The space group is P4/mmm (No. 123) and the conventional cell measures 3.268, 3.268 and 9.004 Å, with angles of 90.00, 90.00 and 90.00 degrees. Symmetry generates all atoms from Sc at (0.000, 0.000, 0.000), Pa at (0.000, 0.000, 0.500) and Sn at (0.500, 0.500, 0.236).

As for the energy above the most stable polymorph in this dataset: 0.0000 eV/atom. The value obtained for the energy of formation from the pure elements is -1.38 eV/f.u. The calculation puts the theoretical density at 8.87 g cm⁻³.

Entry 5:
Computed, not measured: a relaxed Ce2Ni4Ir5 crystal at the GGA-PBE level of DFT.

The space group is Fmmm (No. 69) and the conventional cell measures 5.226, 8.952 and 15.963 Å, with angles of 90.00, 90.00 and 90.00 degrees. Symmetry generates all atoms from Ce at (0.000, 0.000, 0.127), Ni at (0.000, 0.163, 0.372), Ir at (0.000, 0.000, 0.500), Ir at (0.250, 0.250, 0.000) and Ir at (0.250, 0.250, 0.250).

The value obtained for the energy of formation from the pure elements is -3.44 eV/f.u. The calculation puts the theoretical density at 13.13 g cm⁻³.

Entry 6:
Computed, not measured: a relaxed AcBiTe2 crystal at the GGA-PBE level of DFT.

The space group is R-3m (No. 166, hexagonal axes) and the conventional cell measures 5.5288, 5.5288 and 15.1734 Å, with angles of 90.00, 90.00 and 120.00 degrees. Symmetry generates all atoms from Ac at (0.0000, 0.0000, 0.0000), Bi at (0.0000, 0.0000, 0.5000) and Te at (0.0000, 0.0000, 0.2345).

As for the energy above the most stable polymorph in this dataset: 0.1177 eV/atom. The uncorrected formation energy is -0.725 eV/atom. The calculation puts the theoretical density at 8.57 g cm⁻³.

Entry 7:
Computed, not measured: a relaxed Sm5SbRh2 crystal at the GGA-PBE level of DFT.

The space group is I4/mcm (No. 140) and the conventional cell measures 7.956, 7.956 and 13.508 Å, with angles of 90.00, 90.00 and 90.00 degrees. Symmetry generates all atoms from Sm at (0.000, 0.000, 0.000), Sm at (0.158, 0.342, 0.137), Sb at (0.000, 0.000, 0.250) and Rh at (0.139, 0.361, 0.500).

The uncorrected formation energy is -0.728 eV/atom. The calculation puts the theoretical density at 8.39 g cm⁻³.

Entry 8:
Computed, not measured: a relaxed CsNaP2O crystal at the GGA-PBE level of DFT.

The space group is P4/mmm (No. 123) and the conventional cell measures 5.743, 5.743 and 4.600 Å, with angles of 90.00, 90.00 and 90.00 degrees. Symmetry generates all atoms from Cs at (0.000, 0.000, 0.000), Na at (0.500, 0.500, 0.500), P at (0.000, 0.500, 0.000) and O at (0.000, 0.000, 0.500).

The uncorrected formation energy is 1.095 eV/atom. The calculation puts the theoretical density at 2.56 g cm⁻³.

Entry 9:
Computed, not measured: a relaxed InTe2IrN crystal at the GGA-PBE level of DFT.

The space group is P4/mmm (No. 123) and the conventional cell measures 5.648, 5.648 and 3.880 Å, with angles of 90.00, 90.00 and 90.00 degrees. Symmetry generates all atoms from In at (0.000, 0.000, 0.000), Te at (0.000, 0.500, 0.000), Ir at (0.500, 0.500, 0.500) and N at (0.000, 0.000, 0.500).

As for the energy above the most stable polymorph in this dataset: 1.3486 eV/atom. The uncorrected formation energy is 1.563 eV/atom. The calculation puts the theoretical density at 7.73 g cm⁻³.

Entry 10:
Computed, not measured: a relaxed NiBiC2 crystal at the GGA-PBE level of DFT.

The space group is I-42d (No. 122) and the conventional cell measures 4.864, 4.864 and 9.936 Å, with angles of 90.00, 90.00 and 90.00 degrees. Symmetry generates all atoms from Ni at (0.000, 0.000, 0.000), Bi at (0.000, 0.000, 0.500) and C at (0.161, 0.250, 0.125).

The value obtained for the energy of formation from the pure elements is 5.26 eV/f.u. The calculation puts the theoretical density at 8.24 g cm⁻³.

Entry 11:
Computed, not measured: a relaxed NaCa2TaPt crystal at the GGA-PBE level of DFT.

The space group is P4/mmm (No. 123) and the conventional cell measures 5.185, 5.185 and 5.112 Å, with angles of 90.00, 90.00 and 90.00 degrees. Symmetry generates all atoms from Na at (0.000, 0.000, 0.000), Ca at (0.000, 0.500, 0.000), Ta at (0.000, 0.000, 0.500) and Pt at (0.500, 0.500, 0.500).

The value obtained for the energy of formation from the pure elements is 7.31 eV/f.u. The calculation puts the theoretical density at 5.79 g cm⁻³.

Entry 12:
Computed, not measured: a relaxed Sr2CaMg crystal at the GGA-PBE level of DFT.

The space group is R-3m (No. 166, hexagonal axes) and the conventional cell measures 4.0939, 4.0939 and 36.5921 Å, with angles of 90.00, 90.00 and 120.00 degrees. Symmetry generates all atoms from Sr at (0.0000, 0.0000, 0.2412), Ca at (0.0000, 0.0000, 0.0000) and Mg at (0.0000, 0.0000, 0.5000).

The value obtained for the energy of formation from the pure elements is 0.32 eV/f.u. The calculation puts the theoretical density at 2.25 g cm⁻³.